1.
The following is a PBE calculation of a relaxed structure of AcTb2ErSe4, from Alexandria.

As for the uncorrected formation energy: -167.8 kJ/mol of atoms. For the calculated total energy, the calculation gives -5.722 eV per atom.

The structure belongs to space group P2/m (No. 10); the cell edges are 7.1467, 4.0984 and 7.4484 Å and the angles 90.00°, 108.48° and 90.00°. The asymmetric unit holds Ac at (0.0000, 0.0000, 0.0000), Tb at (0.5000, 0.0000, 0.5000), Tb at (0.5000, 0.5000, 0.0000), Er at (0.0000, 0.5000, 0.5000), Se at (0.2532, 0.0000, 0.7361) and Se at (0.2651, 0.5000, 0.2708).

---

2.
The following is a PBE calculation of a relaxed structure of RbVCrGa2, from Alexandria.

For the calculated total energy, the calculation gives -3.696 eV per atom.

The structure belongs to space group P4/mmm (No. 123); the cell edges are 4.9163, 4.9163 and 5.5756 Å and the angles 90.00°, 90.00° and 90.00°. The asymmetric unit holds Rb at (0.0000, 0.0000, 0.0000), V at (0.5000, 0.5000, 0.0000), Cr at (0.0000, 0.0000, 0.5000) and Ga at (0.0000, 0.5000, 0.5000).

---

3.
The following is a PBE calculation of a relaxed structure of NpCd2Au4, from Alexandria.

For the calculated total energy, the calculation gives -4.165 eV per atom.

The structure belongs to space group Immm (No. 71); the cell edges are 3.0219, 4.8449 and 19.5114 Å and the angles 90.00°, 90.00° and 90.00°. The asymmetric unit holds Np at (0.0000, 0.0000, 0.0000), Cd at (0.0000, 0.5000, 0.2016), Au at (0.0000, 0.0000, 0.4284) and Au at (0.0000, 0.5000, 0.3495).

---

no.,total moment (Bohr magnetons per cell)
1,0.0
2,3.7
3,8.8